# ZrNi2GeO6, optimized geometry, DFT GGA+U
# E: -200.73 eV/cell
# Total magnetization: 4.00 μB/f.u.
# Volume: 322.60 Å³/cell
data_ZrNi2GeO6
_cell_length_a 5.1590
_cell_length_b 5.1590
_cell_length_c 13.9959
_cell_angle_alpha 90.00
_cell_angle_beta 90.00
_cell_angle_gamma 120.00
_symmetry_space_group_name_H-M 'R 3'
_symmetry_Int_Tables_number 146
_symmetry_space_group_name_Hall 'R 3'
loop_
_atom_site_label
_atom_site_type_symbol
_atom_site_fract_x
_atom_site_fract_y
_atom_site_fract_z
Zr1 Zr 0.0000 0.0000 0.0000
Ni1 Ni 0.0000 0.0000 0.2895
Ni2 Ni 0.0000 0.0000 0.7953
Ge1 Ge 0.0000 0.0000 0.4947
O1 O 0.0317 0.3353 0.5595
O2 O 0.0450 0.6718 0.0672